The following is a DFT calculation (PBE) of crystalline SrTb4 at its relaxed geometry.

Unit cell a=5.705 b=5.705 c=5.705 alpha=90.00 beta=90.00 gamma=90.00
Positions (direct):
Sr: 0.000 0.000 0.000
Tb: 0.000 0.000 0.500
Tb: 0.000 0.500 0.000
Tb: 0.500 0.000 0.000
Tb: 0.500 0.500 0.500

Results
D(E_F): 1.2136 states/eV per atom
Energy relative to the elements: 987 meV per atom
Density: 6.47 Mg/m³